## w
Here is CuBi3N after structural relaxation from Alexandria. Energies are from PBE-GGA.

Cell lengths 5.1557, 5.1557, 5.1557 Å; angles 90.00, 90.00, 90.00 degrees
With the nearest neighbours (Å) after each atom.
Sites, in units of the cell vectors:
Bi 0.0000 0.5000 0.0000  2 Cu 2.58
Bi 0.0000 0.0000 0.5000  2 Cu 2.58
Bi 0.5000 0.0000 0.0000  2 Cu 2.58
Cu 0.0000 0.0000 0.0000  6 Bi 2.58
N 0.5000 0.5000 0.5000  12 Bi 3.65

***

## x
Here is CuBi3N after structural relaxation from Alexandria. Energies are from PBE-GGA.

Cell lengths 4.8990, 4.8990, 4.8990 Å; angles 90.00, 90.00, 90.00 degrees
With the nearest neighbours (Å) after each atom.
Sites, in units of the cell vectors:
Bi 0.0000 0.5000 0.0000  2 N 2.45
Bi 0.0000 0.0000 0.5000  2 N 2.45
Bi 0.5000 0.0000 0.0000  2 N 2.45
Cu 0.5000 0.5000 0.5000  12 Bi 3.46
N 0.0000 0.0000 0.0000  6 Bi 2.45

***

Best to worst by energy: x, w.

***

## w
Here is CuBiSN2 after structural relaxation from Alexandria. Energies are from PBE-GGA.

Cell lengths 4.2770, 4.2770, 5.4876 Å; angles 90.00, 90.00, 90.00 degrees
With the nearest neighbours (Å) after each atom.
Sites, in units of the cell vectors:
S 0.0000 0.0000 0.5000  2 Bi 2.74, 4 Cu 3.02
Bi 0.0000 0.0000 0.0000  4 N 2.14
Cu 0.5000 0.5000 0.5000  4 S 3.02
N 0.0000 0.5000 0.0000  2 Bi 2.14
N 0.5000 0.0000 0.0000  2 Bi 2.14

***

## x
Here is CuBiSN2 after structural relaxation from Alexandria. Energies are from PBE-GGA.

Cell lengths 3.9951, 3.9951, 4.6936 Å; angles 90.00, 90.00, 90.00 degrees
With the nearest neighbours (Å) after each atom.
Sites, in units of the cell vectors:
S 0.0000 0.0000 0.5000  2 Cu 2.35
Bi 0.5000 0.5000 0.5000  4 S 2.82, 8 N 3.08
Cu 0.0000 0.0000 0.0000  4 N 2.00
N 0.0000 0.5000 0.0000  2 Cu 2.00
N 0.5000 0.0000 0.0000  2 Cu 2.00

***

Best to worst by energy: x, w.

***

## w
Here is NaCuBi3 after structural relaxation from Alexandria. Energies are from PBE-GGA.

Cell lengths 5.4643, 5.4643, 5.4643 Å; angles 90.00, 90.00, 90.00 degrees
With the nearest neighbours (Å) after each atom.
Sites, in units of the cell vectors:
Na 0.0000 0.0000 0.0000  6 Bi 2.73
Bi 0.0000 0.5000 0.0000  2 Na 2.73
Bi 0.0000 0.0000 0.5000  2 Na 2.73
Bi 0.5000 0.0000 0.0000  2 Na 2.73
Cu 0.5000 0.5000 0.5000  12 Bi 3.86

***

## x
Here is NaCuBi3 after structural relaxation from Alexandria. Energies are from PBE-GGA.

Cell lengths 5.3712, 5.3712, 5.3712 Å; angles 90.00, 90.00, 90.00 degrees
With the nearest neighbours (Å) after each atom.
Sites, in units of the cell vectors:
Na 0.5000 0.5000 0.5000  12 Bi 3.80
Bi 0.0000 0.5000 0.0000  2 Cu 2.69
Bi 0.0000 0.0000 0.5000  2 Cu 2.69
Bi 0.5000 0.0000 0.0000  2 Cu 2.69
Cu 0.0000 0.0000 0.0000  6 Bi 2.69

***

Best to worst by energy: x, w.

***

## w
Here is Na2Cu2Bi after structural relaxation from Alexandria. Energies are from PBE-GGA.

Cell lengths 6.8810, 6.8810, 4.8474 Å; angles 90.00, 90.00, 90.00 degrees
With the nearest neighbours (Å) after each atom.
Sites, in units of the cell vectors:
Na 0.1772 0.6772 0.5000  6 Cu 3.10-3.21, 1 Na 3.45
Na 0.6772 0.8228 0.5000  6 Cu 3.10-3.21, 1 Na 3.45
Na 0.8228 0.3228 0.5000  6 Cu 3.10-3.21, 1 Na 3.45
Na 0.3228 0.1772 0.5000  6 Cu 3.10-3.21, 1 Na 3.45
Bi 0.0000 0.0000 0.0000  4 Cu 2.72
Bi 0.5000 0.5000 0.0000  4 Cu 2.72
Cu 0.3755 0.8755 0.0000  1 Cu 2.42
Cu 0.8755 0.6245 0.0000  1 Cu 2.42
Cu 0.6245 0.1245 0.0000  1 Cu 2.42
Cu 0.1245 0.3755 0.0000  1 Cu 2.42

***

## x
Here is Na2Cu2Bi after structural relaxation from Alexandria. Energies are from PBE-GGA.

Cell lengths 4.0997, 4.0997, 7.1604 Å; angles 73.36, 73.36, 90.00 degrees
With the nearest neighbours (Å) after each atom.
Sites, in units of the cell vectors:
Na 0.7500 0.2500 0.5000  4 Na 2.90, 4 Cu 2.94
Na 0.2500 0.7500 0.5000  4 Na 2.90, 4 Cu 2.94
Bi 0.0000 0.0000 0.0000  8 Cu 3.12
Cu 0.4109 0.4109 0.1782  1 Cu 2.33
Cu 0.5891 0.5891 0.8218  1 Cu 2.33

***

Best to worst by energy: w, x.

***

## w
Here is Na3CuBi after structural relaxation from Alexandria. Energies are from PBE-GGA.

Cell lengths 5.3191, 5.3191, 5.3191 Å; angles 90.00, 90.00, 90.00 degrees
With the nearest neighbours (Å) after each atom.
Sites, in units of the cell vectors:
Na 0.0000 0.5000 0.0000  2 Cu 2.66
Na 0.0000 0.0000 0.5000  2 Cu 2.66
Na 0.5000 0.0000 0.0000  2 Cu 2.66
Bi 0.5000 0.5000 0.5000  12 Na 3.76
Cu 0.0000 0.0000 0.0000  6 Na 2.66

***

## x
Here is Na3CuBi after structural relaxation from Alexandria. Energies are from PBE-GGA.

Cell lengths 5.9375, 5.9375, 5.9375 Å; angles 90.00, 90.00, 90.00 degrees
With the nearest neighbours (Å) after each atom.
Sites, in units of the cell vectors:
Na 0.0000 0.5000 0.0000  2 Bi 2.97
Na 0.0000 0.0000 0.5000  2 Bi 2.97
Na 0.5000 0.0000 0.0000  2 Bi 2.97
Bi 0.0000 0.0000 0.0000  6 Na 2.97
Cu 0.5000 0.5000 0.5000  12 Na 4.20

***

Best to worst by energy: w, x.

***

## w
Here is NaNbCu2Bi after structural relaxation from Alexandria. Energies are from PBE-GGA.

Cell lengths 5.0099, 5.4601, 5.0099 Å; angles 90.00, 90.00, 90.00 degrees
With the nearest neighbours (Å) after each atom.
Sites, in units of the cell vectors:
Na 0.5000 0.5000 0.5000  4 Nb 3.54, 8 Cu 3.71
Nb 0.0000 0.5000 0.0000  2 Bi 2.73
Bi 0.0000 0.0000 0.0000  4 Cu 2.50, 2 Nb 2.73
Cu 0.0000 0.0000 0.5000  2 Bi 2.50
Cu 0.5000 0.0000 0.0000  2 Bi 2.50

***

## x
Here is NaNbCu2Bi after structural relaxation from Alexandria. Energies are from PBE-GGA.

Cell lengths 4.5017, 5.2177, 4.5017 Å; angles 90.00, 90.00, 90.00 degrees
With the nearest neighbours (Å) after each atom.
Sites, in units of the cell vectors:
Na 0.0000 0.0000 0.0000  4 Cu 2.25
Nb 0.0000 0.5000 0.0000  2 Na 2.61
Bi 0.5000 0.5000 0.5000  4 Nb 3.18, 8 Cu 3.45
Cu 0.0000 0.0000 0.5000  2 Na 2.25
Cu 0.5000 0.0000 0.0000  2 Na 2.25

***

Best to worst by energy: w, x.